KNa2ScF6: relaxed, GGA-PBE.

Cell: 6.266 6.266 6.266 Å, 56.03 56.03 56.03°
Atoms (fractional coordinates):
K 0.000 0.000 0.000
Na 0.278 0.278 0.278
Na 0.790 0.790 0.790
Sc 0.483 0.483 0.483
F 0.116 0.645 0.435
F 0.241 0.557 0.843
F 0.435 0.116 0.645
F 0.557 0.843 0.241
F 0.645 0.435 0.116
F 0.843 0.241 0.557

Summary:
total moment: 0.189 μB/f.u.
formation energy without anion corrections: -3276 meV per atom
SG: R3 (146)
E above lowest polymorph: 0 meV per atom
V: 157.99 Å³/cell

***

CaHf2P2: relaxed, GGA-PBE.

Cell: 7.334 7.334 3.507 Å, 90.00 90.00 90.00°
Atoms (fractional coordinates):
Ca 0.000 0.000 0.000
Ca 0.500 0.500 0.000
Hf 0.147 0.353 0.500
Hf 0.353 0.853 0.500
Hf 0.647 0.147 0.500
Hf 0.853 0.647 0.500
P 0.140 0.640 0.000
P 0.360 0.140 0.000
P 0.640 0.860 0.000
P 0.860 0.360 0.000

Summary:
total moment: 0.000 μB/f.u.
SG: P4/mbm (127)
formation energy from the elements: -0.86 eV per atom
E above lowest polymorph: 0 meV per atom
V: 188.63 Å³/cell

***

HgRh2: relaxed, GGA-PBE.

Cell: 6.184 6.184 6.184 Å, 90.00 90.00 90.00°
Atoms (fractional coordinates):
Hg 0.000 0.000 0.000
Hg 0.000 0.500 0.500
Hg 0.500 0.000 0.500
Hg 0.500 0.500 0.000
Rh 0.250 0.250 0.250
Rh 0.250 0.250 0.750
Rh 0.250 0.750 0.250
Rh 0.250 0.750 0.750
Rh 0.750 0.250 0.250
Rh 0.750 0.250 0.750
Rh 0.750 0.750 0.250
Rh 0.750 0.750 0.750

Summary:
total moment: 1.418 μB/f.u.
SG: Fm-3m (225)
formation energy from the elements: 0.85 eV per atom
V: 236.51 Å³/cell

***

Ho4As3S: relaxed, GGA-PBE.

Cell: 5.731 5.731 11.449 Å, 90.00 90.00 90.00°
Atoms (fractional coordinates):
Ho 0.000 0.000 0.250
Ho 0.000 0.000 0.750
Ho 0.000 0.500 0.000
Ho 0.000 0.500 0.500
Ho 0.500 0.000 0.000
Ho 0.500 0.000 0.500
Ho 0.500 0.500 0.250
Ho 0.500 0.500 0.750
As 0.000 0.000 0.000
As 0.000 0.500 0.250
As 0.000 0.500 0.750
As 0.500 0.000 0.250
As 0.500 0.000 0.750
As 0.500 0.500 0.500
S 0.000 0.000 0.500
S 0.500 0.500 0.000

Summary:
total moment: 0.000 μB/f.u.
formation energy without anion corrections: -1674 meV per atom
SG: I4/mmm (139)
V: 376.02 Å³/cell

***

Re3BiN: relaxed, GGA-PBE.

Cell: 4.987 4.987 4.987 Å, 90.00 90.00 90.00°
Atoms (fractional coordinates):
Re 0.000 0.000 0.500
Re 0.000 0.500 0.000
Re 0.500 0.000 0.000
Bi 0.000 0.000 0.000
N 0.500 0.500 0.500

Summary:
total moment: 1.340 μB/f.u.
formation energy without anion corrections: 4526 meV per atom
SG: Pm-3m (221)
E above lowest polymorph: 3627 meV per atom
V: 124.00 Å³/cell

***

HfAlMo2H: relaxed, GGA-PBE.

Cell: 5.001 5.001 3.332 Å, 90.00 90.00 90.00°
Atoms (fractional coordinates):
Hf 0.000 0.000 0.000
Al 0.500 0.500 0.500
Mo 0.000 0.500 0.000
Mo 0.500 0.000 0.000
H 0.000 0.000 0.500

Summary:
total moment: 0.000 μB/f.u.
total DFT energy (no corrections): -6.627 eV/atom
SG: P4/mmm (123)
V: 83.34 Å³/cell

***

LaSeBr2: relaxed, GGA-PBE.

Cell: 10.526 4.220 7.526 Å, 90.00 107.23 90.00°
Atoms (fractional coordinates):
La 0.000 0.000 0.000
La 0.500 0.500 0.000
Se 0.288 0.000 0.974
Se 0.788 0.500 0.974
Br 0.142 0.500 0.272
Br 0.460 0.000 0.698
Br 0.642 0.000 0.272
Br 0.960 0.500 0.698

Summary:
total moment: 0.987 μB/f.u.
formation energy without anion corrections: -1465 meV per atom
SG: Cm (8)
E above lowest polymorph: 0 meV per atom
V: 319.34 Å³/cell

***

PrSmErTm: relaxed, GGA-PBE.

Cell: 8.073 8.073 8.073 Å, 90.00 90.00 90.00°
Atoms (fractional coordinates):
Pr 0.000 0.000 0.000
Pr 0.000 0.500 0.500
Pr 0.500 0.000 0.500
Pr 0.500 0.500 0.000
Sm 0.000 0.000 0.500
Sm 0.000 0.500 0.000
Sm 0.500 0.000 0.000
Sm 0.500 0.500 0.500
Er 0.250 0.250 0.750
Er 0.250 0.750 0.250
Er 0.750 0.250 0.250
Er 0.750 0.750 0.750
Tm 0.250 0.250 0.250
Tm 0.250 0.750 0.750
Tm 0.750 0.250 0.750
Tm 0.750 0.750 0.250

Summary:
total moment: 0.002 μB/f.u.
SG: F-43m (216)
formation energy from the elements: 0.10 eV per atom
E above lowest polymorph: 0 meV per atom
V: 526.24 Å³/cell

***

CoB3P: relaxed, GGA-PBE.

Cell: 3.790 3.790 3.790 Å, 90.00 90.00 90.00°
Atoms (fractional coordinates):
Co 0.000 0.000 0.000
B 0.000 0.000 0.500
B 0.000 0.500 0.000
B 0.500 0.000 0.000
P 0.500 0.500 0.500

Summary:
total moment: 0.000 μB/f.u.
SG: Pm-3m (221)
formation energy from the elements: 1.26 eV per atom
E above lowest polymorph: 0 meV per atom
V: 54.44 Å³/cell

***

LiInS2: relaxed, GGA-PBE.

Cell: 8.223 3.835 10.883 Å, 90.00 109.27 90.00°
Atoms (fractional coordinates):
Li 0.108 0.239 0.402
Li 0.108 0.261 0.902
Li 0.892 0.739 0.098
Li 0.892 0.761 0.598
In 0.338 0.745 0.210
In 0.338 0.755 0.710
In 0.662 0.245 0.290
In 0.662 0.255 0.790
S 0.114 0.244 0.154
S 0.114 0.256 0.654
S 0.382 0.624 0.971
S 0.382 0.876 0.471
S 0.618 0.124 0.529
S 0.618 0.376 0.029
S 0.886 0.744 0.346
S 0.886 0.756 0.846

Summary:
total moment: 0.000 μB/f.u.
formation energy without anion corrections: -643 meV per atom
SG: P2_1/c (14)
V: 324.00 Å³/cell

***

Ce2DyPa: relaxed, GGA-PBE.

Cell: 3.323 3.323 34.440 Å, 90.00 90.00 120.00°
Atoms (fractional coordinates):
Ce 0.000 0.000 0.000
Ce 0.000 0.000 0.161
Ce 0.333 0.667 0.667
Ce 0.333 0.667 0.828
Ce 0.667 0.333 0.333
Ce 0.667 0.333 0.494
Dy 0.000 0.000 0.582
Dy 0.333 0.667 0.248
Dy 0.667 0.333 0.915
Pa 0.000 0.000 0.414
Pa 0.333 0.667 0.080
Pa 0.667 0.333 0.747

Summary:
total moment: 0.012 μB/f.u.
SG: R3m (160)
formation energy from the elements: 0.11 eV per atom
E above lowest polymorph: 34 meV per atom
V: 329.40 Å³/cell

***

LiNi2B: relaxed, GGA-PBE.

Cell: 2.821 2.821 19.496 Å, 90.00 90.00 120.00°
Atoms (fractional coordinates):
Li 0.000 0.000 0.000
Li 0.333 0.667 0.667
Li 0.667 0.333 0.333
Ni 0.000 0.000 0.223
Ni 0.000 0.000 0.777
Ni 0.333 0.667 0.444
Ni 0.333 0.667 0.889
Ni 0.667 0.333 0.111
Ni 0.667 0.333 0.556
B 0.000 0.000 0.500
B 0.333 0.667 0.167
B 0.667 0.333 0.833

Summary:
total moment: 0.000 μB/f.u.
SG: R-3m (166)
formation energy from the elements: -0.10 eV per atom
V: 134.35 Å³/cell